(1)
VASP calculation (PBE-GGA) on crystalline LaHf2Si at its relaxed geometry. Values from VASP.

Energy relative to the elements, uncorrected in kJ/mol of formula units: 65
Total energy in eV/atom: -7.3967
Total moment in μB per cell: 0.00
DOS(E_F) in states/eV per cell: 10.11
Density in Mg/m³: 9.1

Structure (Quantum ESPRESSO input):
```
&SYSTEM
  ibrav = 0, nat = 8, ntyp = 3
/
ATOMIC_SPECIES
Hf 178.49 Hf.upf
La 138.91 La.upf
Si 28.09 Si.upf
ATOMIC_POSITIONS angstrom
Hf 1.181 1.087 2.524
Hf 3.165 3.260 2.524
Hf 5.433 3.355 7.573
Hf 3.260 5.338 7.573
La 0.000 0.000 0.000
La 4.346 2.173 5.048
Si 2.173 4.346 5.048
Si 2.173 2.173 0.000
CELL_PARAMETERS angstrom
4.346 0.000 0.000
0.000 4.346 0.000
2.173 2.173 10.097
```

=====

(2)
VASP calculation (PBE-GGA) on crystalline Ta2AsPb at its relaxed geometry. Values from VASP.

Distance to the lowest polymorph of the same formula in meV/atom: 199
Total energy in eV/atom: -7.8473
Total moment in μB per cell: 0.00
DOS(E_F) in states/eV per cell: 3.03
Formation energy in meV per atom: 168.5
Density in Mg/m³: 12.5

Structure (Quantum ESPRESSO input):
```
&SYSTEM
  ibrav = 0, nat = 4, ntyp = 3
/
ATOMIC_SPECIES
Pb 207.20 Pb.upf
Ta 180.95 Ta.upf
As 74.92 As.upf
ATOMIC_POSITIONS angstrom
Pb 19.842 3.593 2.120
Ta 6.569 1.190 0.702
Ta 26.244 4.752 2.804
As 13.630 2.468 1.456
CELL_PARAMETERS angstrom
9.231 -0.008 -0.005
8.642 3.244 -0.005
8.642 1.565 2.842
```

=====

(3)
VASP calculation (PBE-GGA) on crystalline CaCe2Pu at its relaxed geometry. Values from VASP.

Total energy in eV/atom: -6.6486
Total moment in μB per cell: 1.48
DOS(E_F) in states/eV per cell: 8.52
Formation energy in meV per atom: 401.7
Density in Mg/m³: 8.2

Structure (Quantum ESPRESSO input):
```
&SYSTEM
  ibrav = 0, nat = 4, ntyp = 3
/
ATOMIC_SPECIES
Ce 140.12 Ce.upf
Ca 40.08 Ca.upf
Pu 244.00 Pu.upf
ATOMIC_POSITIONS angstrom
Ce -1.448 -1.998 6.451
Ce -4.151 -4.964 3.105
Ca 0.000 0.000 0.000
Pu -2.799 -3.481 4.778
CELL_PARAMETERS angstrom
-3.428 -1.187 -0.116
-0.682 -3.558 -0.234
-1.489 -2.218 9.906
```

=====

(4)
VASP calculation (PBE-GGA) on crystalline TbPuOs at its relaxed geometry. Values from VASP.

Distance to the lowest polymorph of the same formula in meV/atom: 166
Total energy in eV/atom: -10.0495
Total moment in μB per cell: 5.01
DOS(E_F) in states/eV per cell: 9.12
Formation energy in meV per atom: 14.5
Density in Mg/m³: 12.9

Structure (Quantum ESPRESSO input):
```
&SYSTEM
  ibrav = 0, nat = 3, ntyp = 3
/
ATOMIC_SPECIES
Pu 244.00 Pu.upf
Os 190.23 Os.upf
Tb 158.93 Tb.upf
ATOMIC_POSITIONS angstrom
Pu 0.000 0.000 0.000
Os 2.380 1.374 0.971
Tb 4.759 2.748 1.943
CELL_PARAMETERS angstrom
4.759 0.000 0.000
2.380 4.122 0.000
2.380 1.374 3.886
```

=====

(5)
VASP calculation (PBE-GGA) on crystalline Tb3Eu at its relaxed geometry. Values from VASP.

Distance to the lowest polymorph of the same formula in meV/atom: 0
Total energy in eV/atom: -5.9700
Total moment in μB per cell: 7.64
DOS(E_F) in states/eV per cell: 6.44
Formation energy in meV per atom: 71.3
Density in Mg/m³: 7.7

Structure (Quantum ESPRESSO input):
```
&SYSTEM
  ibrav = 0, nat = 4, ntyp = 2
/
ATOMIC_SPECIES
Tb 158.93 Tb.upf
Eu 151.96 Eu.upf
ATOMIC_POSITIONS angstrom
Tb 0.000 0.000 6.341
Tb 1.823 0.000 3.238
Tb 1.823 2.904 5.300
Eu 0.000 2.904 2.118
CELL_PARAMETERS angstrom
3.647 0.000 0.000
0.000 5.808 0.000
0.000 0.000 6.373
```

=====

(6)
VASP calculation (PBE-GGA) on crystalline NdMg2Ag2Hg2 at its relaxed geometry. Values from VASP.

Total energy in eV/atom: -2.2798
Total moment in μB per cell: 0.00
DOS(E_F) in states/eV per cell: 3.39
Formation energy in meV per atom: -242.2
Density in Mg/m³: 8.5

Structure (Quantum ESPRESSO input):
```
&SYSTEM
  ibrav = 0, nat = 7, ntyp = 4
/
ATOMIC_SPECIES
Ag 107.87 Ag.upf
Mg 24.30 Mg.upf
Hg 200.59 Hg.upf
Nd 144.24 Nd.upf
ATOMIC_POSITIONS angstrom
Ag -2.902 1.643 7.012
Ag -3.498 -0.328 4.953
Mg -1.056 2.126 4.868
Mg -5.343 -0.810 7.096
Hg -4.721 1.247 9.245
Hg -1.679 0.068 2.719
Nd 0.000 0.000 0.000
CELL_PARAMETERS angstrom
-4.569 -0.037 1.359
-1.465 -3.057 3.351
-0.366 4.410 7.255
```